(1)
This record from Alexandria describes an optimized crystal structure of DyZn3Ag3. The functional is PBE.

abc: 8.5993 8.5993 8.5993
angles: 60.00 60.00 60.00
Positions (direct):
Dy (0.2500, 0.2500, 0.2500)
Ag (0.6587, 0.3413, 0.3413)
Zn (0.1471, 0.8529, 0.8529)
Zn (0.8529, 0.1471, 0.8529)
Ag (0.3413, 0.6587, 0.3413)
Zn (0.1471, 0.8529, 0.1471)
Ag (0.6587, 0.6587, 0.3413)
Zn (0.8529, 0.8529, 0.1471)
Zn (0.1471, 0.1471, 0.8529)
Dy (0.7500, 0.7500, 0.7500)
Ag (0.3413, 0.6587, 0.6587)
Ag (0.6587, 0.3413, 0.6587)
Zn (0.8529, 0.1471, 0.1471)
Ag (0.3413, 0.3413, 0.6587)

Output
* ΔH_f (0 K): 0.7884 eV per atom

(2)
This record from Alexandria describes an optimized crystal structure of YCuGe. The functional is PBE.

abc: 4.3016 4.3022 8.9536
angles: 61.28 61.28 60.02
Positions (direct):
Y (0.5714, 0.2166, 0.2987)
Ge (0.1047, 0.7498, 0.4987)
Y (0.6381, 0.2832, 0.6986)
Cu (0.8327, 0.4775, 0.9067)
Cu (0.3771, 0.0223, 0.0904)
Ge (0.1048, 0.7498, 0.9987)

Output
* ΔH_f (0 K): -0.5196 eV per atom

(3)
This record from Alexandria describes an optimized crystal structure of Tc2SbPt. The functional is PBE.

abc: 5.8500 5.8500 7.0663
angles: 65.55 65.55 90.00
Positions (direct):
Pt (0.7500, 0.2500, 0.5000)
Tc (0.8750, 0.9043, 0.7500)
Pt (0.0000, 0.0000, 0.0000)
Tc (0.0957, 0.6250, 0.2500)
Tc (0.6543, 0.1250, 0.2500)
Tc (0.3750, 0.3457, 0.7500)
Sb (0.2500, 0.7500, 0.5000)
Sb (0.5000, 0.5000, 0.0000)

Output
* raw total energy: -6.77 eV per atom